Ag7H6Pd5 | the Alexandria database | PBE | relaxed; magnetic moment = 0.00 μB/cell; E_tot = -3.667 eV per atom
1.0
8.837 0.000 0.000
0.000 4.026 3.122
0.000 -4.026 3.122
Ag H Pd
7 6 5
Direct
0.000 0.000 0.000 Ag
0.168 0.045 0.503 Ag
0.168 0.503 0.045 Ag
0.500 0.027 0.482 Ag
0.500 0.482 0.027 Ag
0.832 0.045 0.503 Ag
0.832 0.503 0.045 Ag
0.000 0.294 0.294 H
0.182 0.726 0.726 H
0.318 0.256 0.256 H
0.500 0.753 0.753 H
0.682 0.256 0.256 H
0.818 0.726 0.726 H
0.000 0.565 0.565 Pd
0.334 0.979 0.979 Pd
0.337 0.537 0.537 Pd
0.663 0.537 0.537 Pd
0.666 0.979 0.979 Pd